(1)
# PBEsol LaSb2HPb, relaxed
data_LaSb2HPb
_space_group_name_H-M_alt 'P 4/m m m'
_space_group_IT_number 123
_space_group_name_Hall '-P 4 2'
_cell_length_a 5.990
_cell_length_b 5.990
_cell_length_c 6.181
_cell_angle_alpha 90.00
_cell_angle_beta 90.00
_cell_angle_gamma 90.00
loop_
_atom_site_label
_atom_site_type_symbol
_atom_site_fract_x
_atom_site_fract_y
_atom_site_fract_z
_atom_site_occupancy
La1 La 0.000 0.000 0.000 1
Sb1 Sb 0.000 0.500 0.000 1
H1 H 0.500 0.500 0.500 1
Pb1 Pb 0.000 0.000 0.500 1
# * DFT total energy: -0.247 Ry per atom

(2)
# PBEsol LaH2Pd2, relaxed
data_LaH2Pd2
_space_group_name_H-M_alt 'I 4/m m m'
_space_group_IT_number 139
_space_group_name_Hall '-I 4 2'
_cell_length_a 3.832
_cell_length_b 3.832
_cell_length_c 8.917
_cell_angle_alpha 90.00
_cell_angle_beta 90.00
_cell_angle_gamma 90.00
loop_
_atom_site_label
_atom_site_type_symbol
_atom_site_fract_x
_atom_site_fract_y
_atom_site_fract_z
_atom_site_occupancy
La1 La 0.000 0.000 0.000 1
H1 H 0.000 0.500 0.250 1
Pd1 Pd 0.000 0.000 0.329 1
# * DFT total energy: -0.388 Ry per atom

(3)
# PBEsol La2H2Pd, relaxed
data_La2H2Pd
_space_group_name_H-M_alt 'I 4/m m m'
_space_group_IT_number 139
_space_group_name_Hall '-I 4 2'
_cell_length_a 3.682
_cell_length_b 3.682
_cell_length_c 13.167
_cell_angle_alpha 90.00
_cell_angle_beta 90.00
_cell_angle_gamma 90.00
loop_
_atom_site_label
_atom_site_type_symbol
_atom_site_fract_x
_atom_site_fract_y
_atom_site_fract_z
_atom_site_occupancy
La1 La 0.000 0.000 0.136 1
H1 H 0.000 0.500 0.250 1
Pd1 Pd 0.000 0.000 0.500 1
# * DFT total energy: -0.387 Ry per atom

(4)
# PBEsol LaH3Pd, relaxed
data_LaH3Pd
_space_group_name_H-M_alt 'P m -3 m'
_space_group_IT_number 221
_space_group_name_Hall '-P 4 2 3'
_cell_length_a 3.784
_cell_length_b 3.784
_cell_length_c 3.784
_cell_angle_alpha 90.00
_cell_angle_beta 90.00
_cell_angle_gamma 90.00
loop_
_atom_site_label
_atom_site_type_symbol
_atom_site_fract_x
_atom_site_fract_y
_atom_site_fract_z
_atom_site_occupancy
La1 La 0.000 0.000 0.000 1
H1 H 0.000 0.500 0.500 1
Pd1 Pd 0.500 0.500 0.500 1
# * DFT total energy: -0.354 Ry per atom

> Among the records above, which one has the lowest DFT total energy?

LaH2Pd2

> What is the DFT total energy in the fourth record?

-0.354 Ry per atom